28
Lattice="-3.325 2.888 -3.868 -3.512 -4.670 -0.468 -4.757 2.947 6.290" Properties=species:S:1:pos:R:3 comment="PBE+U LiCrFeO4, relaxed" sg="P4_322 (95)" magnetic_moment_mub_per_atom=1.000 e_above_lowest_polymorph_mev_per_atom=32 final_energy_ev_per_atom=-6.63 pbc="T T T"
O -6.375 -1.285 4.386
O -4.916 3.576 0.087
O -2.626 -1.736 -1.107
O -7.091 -0.039 -2.682
O -6.012 2.528 2.786
O -4.813 -0.116 1.983
O -9.104 2.720 3.043
O -7.833 -0.001 2.462
O -6.645 1.461 -0.011
O -3.706 1.132 -0.582
O -8.928 -1.018 4.840
O -5.638 -1.329 -0.759
O -4.373 1.123 4.464
O -5.349 2.531 -2.261
O -6.072 -2.346 -3.340
O -3.273 2.118 2.320
Fe -5.250 -1.699 1.052
Fe -7.534 3.601 2.475
Fe -8.123 0.500 0.665
Fe -2.282 -0.071 -0.284
Li -5.402 0.536 -1.520
Li -4.958 1.698 1.089
Li -4.258 -2.007 -2.280
Li -6.192 0.629 3.473
Cr -3.643 2.867 -1.281
Cr -2.591 -3.445 -0.345
Cr -4.440 2.968 3.703
Cr -3.300 0.249 3.022